Entry 1:
Compound: Ni2TePb
Source: the Alexandria database
Functional: PBE-GGA
Structure: optimized geometry Values from VASP.

Output
Electronic total energy: -4.686 eV/atom
Polymorph energy (0 for the lowest one): 0.0 kJ/mol of atoms
M_tot: 0.00 μB/f.u.
Energy relative to the elements, uncorrected: -0.083 eV/atom

The structure in Quantum ESPRESSO input format:
```
&SYSTEM
  ibrav = 0, nat = 4, ntyp = 3
/
ATOMIC_SPECIES
Ni 58.69 Ni.upf
Pb 207.20 Pb.upf
Te 127.60 Te.upf
CELL_PARAMETERS angstrom
4.066 -0.004 -0.001
2.036 3.520 -0.001
0.000 0.000 5.275
ATOMIC_POSITIONS angstrom
Ni 0.764 0.440 4.010
Ni 0.762 0.439 1.265
Pb 2.797 1.612 2.637
Te 4.832 2.784 5.274
```

Entry 2:
Compound: SrIr4Pt
Source: the Alexandria database
Functional: PBE-GGA
Structure: optimized geometry Values from VASP.

Output
Electronic total energy: -6.955 eV/atom
M_tot: 0.00 μB/f.u.
Energy relative to the elements: 0.239 eV per atom

The structure in Quantum ESPRESSO input format:
```
&SYSTEM
  ibrav = 0, nat = 6, ntyp = 3
/
ATOMIC_SPECIES
Sr 87.62 Sr.upf
Ir 192.22 Ir.upf
Pt 195.08 Pt.upf
CELL_PARAMETERS angstrom
0.000 3.761 3.761
3.761 0.000 3.761
3.761 3.761 0.000
ATOMIC_POSITIONS angstrom
Sr 0.000 0.000 0.000
Ir 2.826 4.697 4.697
Ir 4.697 4.697 2.826
Ir 4.697 2.826 4.697
Ir 2.826 2.826 2.826
Pt 5.642 5.642 5.642
```

Entry 3:
Compound: AcLa3Sm7
Source: the Alexandria database
Functional: PBE-GGA
Structure: optimized geometry Values from VASP.

Output
Electronic total energy: -4.525 eV/atom
Polymorph energy (0 for the lowest one): 0.0 kJ/mol of atoms
M_tot: 0.00 μB/f.u.
Energy relative to the elements: 0.195 eV per atom

The structure in Quantum ESPRESSO input format:
```
&SYSTEM
  ibrav = 0, nat = 11, ntyp = 3
/
ATOMIC_SPECIES
Ac 227.00 Ac.upf
La 138.91 La.upf
Sm 150.36 Sm.upf
CELL_PARAMETERS angstrom
-4.375 -4.834 1.316
3.192 -1.694 6.995
-4.486 4.591 4.558
ATOMIC_POSITIONS angstrom
Ac -2.835 -0.969 6.435
La 1.827 -0.577 6.562
La -2.188 -2.417 0.658
La -3.121 3.474 4.992
Sm -3.797 -3.182 3.757
Sm -2.876 -2.512 10.022
Sm -0.128 -1.608 3.694
Sm -5.542 -0.329 9.176
Sm -0.647 1.448 5.777
Sm -2.794 0.575 2.847
Sm -1.873 1.245 9.113
```

Entry 4:
Compound: CeDy3Y12
Source: the Alexandria database
Functional: PBE-GGA
Structure: optimized geometry Values from VASP.

Output
Electronic total energy: -6.045 eV/atom
M_tot: 0.99 μB/f.u.
Energy relative to the elements: 0.037 eV per atom

The structure in Quantum ESPRESSO input format:
```
&SYSTEM
  ibrav = 0, nat = 16, ntyp = 3
/
ATOMIC_SPECIES
Ce 140.12 Ce.upf
Dy 162.50 Dy.upf
Y 88.91 Y.upf
CELL_PARAMETERS angstrom
5.048 0.000 0.000
0.000 5.048 0.000
0.000 0.000 20.189
ATOMIC_POSITIONS angstrom
Ce 0.000 0.000 0.000
Dy 0.000 0.000 5.030
Dy 0.000 0.000 10.094
Dy 0.000 0.000 15.159
Y 2.524 2.524 0.000
Y 2.524 2.524 5.069
Y 2.524 2.524 10.094
Y 2.524 2.524 15.120
Y 2.524 0.000 2.508
Y 2.524 0.000 7.569
Y 2.524 0.000 12.620
Y 2.524 0.000 17.681
Y 0.000 2.524 2.508
Y 0.000 2.524 7.569
Y 0.000 2.524 12.620
Y 0.000 2.524 17.681
```

Entry 5:
Compound: Na2SrIrO4
Source: the Alexandria database
Functional: PBE-GGA
Structure: optimized geometry Values from VASP.

Output
Electronic total energy: -5.694 eV/atom
M_tot: 3.01 μB/f.u.
Energy relative to the elements, uncorrected: -1.568 eV/atom

The structure in Quantum ESPRESSO input format:
```
&SYSTEM
  ibrav = 0, nat = 8, ntyp = 4
/
ATOMIC_SPECIES
Na 22.99 Na.upf
Sr 87.62 Sr.upf
Ir 192.22 Ir.upf
O 16.00 O.upf
CELL_PARAMETERS angstrom
-1.855 -2.368 -4.435
4.691 -2.030 1.612
-3.197 -0.760 4.233
ATOMIC_POSITIONS angstrom
Na 1.791 -2.896 0.049
Na 0.000 0.000 0.000
Sr -2.153 -2.261 1.360
Ir 0.747 -1.395 2.922
O -0.622 -2.036 -0.823
O -1.060 -1.126 3.523
O 0.702 -4.040 -2.097
O 0.256 -3.114 2.217
```

Entry 6:
Compound: NaGePb
Source: the Alexandria database
Functional: PBE-GGA
Structure: optimized geometry Values from VASP.

Output
Electronic total energy: -3.288 eV/atom
Polymorph energy (0 for the lowest one): 0.0 kJ/mol of atoms
M_tot: 0.00 μB/f.u.
Energy relative to the elements: -0.073 eV per atom

The structure in Quantum ESPRESSO input format:
```
&SYSTEM
  ibrav = 0, nat = 6, ntyp = 3
/
ATOMIC_SPECIES
Na 22.99 Na.upf
Ge 72.64 Ge.upf
Pb 207.20 Pb.upf
CELL_PARAMETERS angstrom
3.885 0.000 0.367
-0.039 4.856 0.420
-0.836 1.084 8.796
ATOMIC_POSITIONS angstrom
Na 0.788 3.771 5.139
Na 3.022 4.002 2.224
Ge 2.825 1.560 4.307
Ge 1.023 1.356 2.642
Pb 2.557 0.889 7.157
Pb 0.461 3.106 8.586
```

Entry 7:
Compound: ScTeOs2
Source: the Alexandria database
Functional: PBE-GGA
Structure: optimized geometry Values from VASP.

Output
Electronic total energy: -7.409 eV/atom
M_tot: 0.00 μB/f.u.
Energy relative to the elements, uncorrected: 0.574 eV/atom

The structure in Quantum ESPRESSO input format:
```
&SYSTEM
  ibrav = 0, nat = 4, ntyp = 3
/
ATOMIC_SPECIES
Os 190.23 Os.upf
Sc 44.96 Sc.upf
Te 127.60 Te.upf
CELL_PARAMETERS angstrom
-1.639 -2.435 -0.025
2.642 -0.256 -1.254
3.593 -2.502 8.083
ATOMIC_POSITIONS angstrom
Os 0.056 -0.039 0.126
Os 1.740 -1.212 3.916
Sc 1.400 -1.971 1.381
Te 3.196 -3.222 5.423
```

Entry 8:
Compound: Y3Ge6N11
Source: the Alexandria database
Functional: PBE-GGA
Structure: optimized geometry Values from VASP.

Output
Electronic total energy: -7.436 eV/atom
M_tot: 0.00 μB/f.u.
Energy relative to the elements, uncorrected: -0.502 eV/atom

The structure in Quantum ESPRESSO input format:
```
&SYSTEM
  ibrav = 0, nat = 40, ntyp = 3
/
ATOMIC_SPECIES
Y 88.91 Y.upf
Ge 72.64 Ge.upf
N 14.01 N.upf
CELL_PARAMETERS angstrom
-9.902 -2.388 1.927
2.574 -10.008 0.824
0.832 0.630 5.056
ATOMIC_POSITIONS angstrom
Y -0.228 -8.319 6.179
Y -5.489 -2.857 6.364
Y -0.195 -2.997 5.510
Y -5.522 -8.179 7.032
Y -2.860 -5.589 6.262
Y 0.804 0.609 4.887
Ge -2.950 -3.610 3.719
Ge -3.500 -8.120 4.372
Ge 1.678 -7.809 3.481
Ge -8.128 -3.922 4.610
Ge -0.976 -6.187 3.716
Ge -5.473 -5.544 4.375
Ge -5.059 -10.758 4.957
Ge -1.391 -0.972 3.134
Ge -7.689 -5.862 2.240
Ge 0.438 -6.476 0.979
Ge -3.849 -10.251 2.155
Ge -3.402 -2.087 1.064
N -1.486 -4.556 4.370
N -4.720 -6.990 5.205
N 1.118 -9.243 4.526
N -7.323 -2.303 5.049
N -1.860 -7.424 4.789
N -4.345 -4.122 4.786
N -6.469 -9.948 5.862
N 0.263 -1.597 3.713
N -3.207 -3.766 1.887
N -3.840 -8.417 2.571
N 1.308 -7.992 1.671
N -8.355 -4.192 2.787
N -1.204 -6.457 1.893
N -5.843 -5.726 2.565
N -5.316 -10.914 3.125
N -1.731 -1.270 1.333
N -6.914 -5.055 5.435
N 0.743 -6.464 4.351
N -3.709 -9.597 5.474
N -2.461 -1.923 4.312
N -4.873 -1.135 1.438
N 1.365 -4.945 0.887
```

Entry 9:
Compound: BaMo2As2
Source: the Alexandria database
Functional: PBE-GGA
Structure: optimized geometry Values from VASP.

Output
Electronic total energy: -6.796 eV/atom
Polymorph energy (0 for the lowest one): 0.0 kJ/mol of atoms
M_tot: 0.00 μB/f.u.
Energy relative to the elements: -0.219 eV per atom

The structure in Quantum ESPRESSO input format:
```
&SYSTEM
  ibrav = 0, nat = 5, ntyp = 3
/
ATOMIC_SPECIES
As 74.92 As.upf
Mo 95.94 Mo.upf
Ba 137.33 Ba.upf
CELL_PARAMETERS angstrom
-4.625 -0.461 1.825
1.873 -1.595 4.345
-1.214 3.171 4.556
ATOMIC_POSITIONS angstrom
As -3.607 0.841 4.733
As -0.358 0.274 5.993
Mo -1.336 0.002 3.446
Mo -2.629 1.113 7.281
Ba 0.000 0.000 0.000
```

Entry 10:
Compound: LiAc2Cd
Source: the Alexandria database
Functional: PBE-GGA
Structure: optimized geometry Values from VASP.

Output
Electronic total energy: -2.891 eV/atom
Polymorph energy (0 for the lowest one): 0.0 kJ/mol of atoms
M_tot: 0.00 μB/f.u.
Energy relative to the elements: -0.130 eV per atom

The structure in Quantum ESPRESSO input format:
```
&SYSTEM
  ibrav = 0, nat = 4, ntyp = 3
/
ATOMIC_SPECIES
Ac 227.00 Ac.upf
Li 6.94 Li.upf
Cd 112.41 Cd.upf
CELL_PARAMETERS angstrom
-3.597 0.075 2.105
2.587 -2.298 4.502
1.242 5.191 1.936
ATOMIC_POSITIONS angstrom
Ac 0.621 2.596 0.968
Ac 1.293 -1.149 2.251
Li 0.116 1.484 4.272
Cd -1.799 0.038 1.053
```

Entry 11:
Compound: Co2HgRu
Source: the Alexandria database
Functional: PBE-GGA
Structure: optimized geometry Values from VASP.

Output
Electronic total energy: -5.581 eV/atom
M_tot: 1.43 μB/f.u.
Energy relative to the elements: 0.367 eV per atom

The structure in Quantum ESPRESSO input format:
```
&SYSTEM
  ibrav = 0, nat = 4, ntyp = 3
/
ATOMIC_SPECIES
Co 58.93 Co.upf
Hg 200.59 Hg.upf
Ru 101.07 Ru.upf
CELL_PARAMETERS angstrom
2.748 0.004 0.000
-0.004 2.748 0.000
0.000 0.000 7.385
ATOMIC_POSITIONS angstrom
Co 0.000 0.000 7.168
Co 0.000 0.000 3.909
Hg 1.372 1.376 1.846
Ru 1.372 1.376 5.539
```

Entry 12:
Compound: TbNd4Dy2Ho2
Source: the Alexandria database
Functional: PBE-GGA
Structure: optimized geometry Values from VASP.

Output
Electronic total energy: -4.654 eV/atom
M_tot: 0.00 μB/f.u.
Energy relative to the elements: 0.019 eV per atom

The structure in Quantum ESPRESSO input format:
```
&SYSTEM
  ibrav = 0, nat = 9, ntyp = 4
/
ATOMIC_SPECIES
Tb 158.93 Tb.upf
Nd 144.24 Nd.upf
Dy 162.50 Dy.upf
Ho 164.93 Ho.upf
CELL_PARAMETERS angstrom
-0.040 -4.996 -0.973
3.363 3.788 -6.272
5.752 -1.120 5.513
ATOMIC_POSITIONS angstrom
Tb 0.000 0.000 0.000
Nd 5.677 -2.531 -0.551
Nd 3.398 0.203 -1.181
Nd 2.246 -2.729 0.607
Nd 6.829 0.401 -2.339
Dy 4.481 -1.866 -3.916
Dy 4.594 -0.462 2.184
Ho 2.225 0.857 -4.494
Ho 6.850 -3.185 2.762
```

Entry 13:
Compound: LaLuTc4
Source: the Alexandria database
Functional: PBE-GGA
Structure: optimized geometry Values from VASP.

Output
Electronic total energy: -8.496 eV/atom
M_tot: 0.00 μB/f.u.
Energy relative to the elements: -0.010 eV per atom

The structure in Quantum ESPRESSO input format:
```
&SYSTEM
  ibrav = 0, nat = 6, ntyp = 3
/
ATOMIC_SPECIES
Lu 174.97 Lu.upf
Tc 98.00 Tc.upf
La 138.91 La.upf
CELL_PARAMETERS angstrom
5.446 0.000 0.000
2.723 4.716 0.000
2.723 1.572 4.446
ATOMIC_POSITIONS angstrom
Lu 0.000 0.000 0.000
Tc 5.446 3.144 0.553
Tc 5.446 1.569 2.780
Tc 6.810 3.932 2.780
Tc 4.082 3.932 2.780
La 2.723 1.572 1.112
```

Entry 14:
Compound: LiZrPb2
Source: the Alexandria database
Functional: PBE-GGA
Structure: optimized geometry Values from VASP.

Output
Electronic total energy: -4.642 eV/atom
M_tot: 0.00 μB/f.u.
Energy relative to the elements: -0.173 eV per atom

The structure in Quantum ESPRESSO input format:
```
&SYSTEM
  ibrav = 0, nat = 4, ntyp = 3
/
ATOMIC_SPECIES
Pb 207.20 Pb.upf
Zr 91.22 Zr.upf
Li 6.94 Li.upf
CELL_PARAMETERS angstrom
7.716 -0.004 -0.012
-3.193 4.384 0.025
1.330 1.009 2.816
ATOMIC_POSITIONS angstrom
Pb 0.000 0.000 0.000
Pb 4.523 0.502 1.402
Zr -0.931 2.696 1.420
Li 2.262 2.190 0.007
```

Entry 15:
Compound: Li2AlPd2
Source: the Alexandria database
Functional: PBE-GGA
Structure: optimized geometry Values from VASP.

Output
Electronic total energy: -4.015 eV/atom
Polymorph energy (0 for the lowest one): 19.1 kJ/mol of atoms
M_tot: 0.00 μB/f.u.
Energy relative to the elements: -0.424 eV per atom

The structure in Quantum ESPRESSO input format:
```
&SYSTEM
  ibrav = 0, nat = 10, ntyp = 3
/
ATOMIC_SPECIES
Li 6.94 Li.upf
Al 26.98 Al.upf
Pd 106.42 Pd.upf
CELL_PARAMETERS angstrom
-3.622 -2.541 2.731
3.192 -0.388 3.873
-1.757 6.570 -1.166
ATOMIC_POSITIONS angstrom
Li -2.076 2.532 4.551
Li -0.110 1.110 0.886
Li -2.589 -0.080 1.441
Li 0.403 3.721 3.997
Al -1.120 -2.099 3.985
Al 0.691 -0.829 2.619
Pd -0.888 3.293 1.887
Pd -1.299 0.349 3.551
Pd 1.318 1.521 3.164
Pd -3.504 2.120 2.274
```